# 1
# NdIn6Cu6 PBE optimized geometry
data_NdIn6Cu6
_chemical_formula_sum 'Nd1 In6 Cu6'
_space_group_name_H-M_alt 'P 1'
_space_group_IT_number 1
_space_group_name_Hall 'P 1'
_cell_length_a 7.131
_cell_length_b 7.131
_cell_length_c 7.131
_cell_angle_alpha 134.60
_cell_angle_beta 98.80
_cell_angle_gamma 98.33
loop_
_atom_site_label
_atom_site_fract_x
_atom_site_fract_y
_atom_site_fract_z
In1 0.813 0.313 0.500
In2 0.656 0.656 0.000
In3 0.344 0.344 0.000
In4 0.339 0.000 0.339
In5 0.187 0.687 0.500
In6 0.661 0.000 0.661
Cu1 0.765 0.500 0.265
Cu2 0.500 0.500 0.500
Cu3 0.000 0.500 0.000
Cu4 0.500 0.000 0.000
Cu5 0.000 0.000 0.500
Cu6 0.235 0.500 0.735
Nd1 0.000 0.000 0.000
# * ΔE_f: -144 meV per atom

***

# 2
# Nd3InCu4 PBE optimized geometry
data_Nd3InCu4
_chemical_formula_sum 'Nd3 In1 Cu4'
_space_group_name_H-M_alt 'P 1'
_space_group_IT_number 1
_space_group_name_Hall 'P 1'
_cell_length_a 3.891
_cell_length_b 6.544
_cell_length_c 8.361
_cell_angle_alpha 113.04
_cell_angle_beta 103.46
_cell_angle_gamma 90.00
loop_
_atom_site_label
_atom_site_fract_x
_atom_site_fract_y
_atom_site_fract_z
Nd1 0.809 0.809 0.617
Nd2 0.000 0.500 0.000
Nd3 0.191 0.191 0.383
Cu1 0.372 0.559 0.745
Cu2 0.628 0.815 0.255
Cu3 0.372 0.185 0.745
Cu4 0.628 0.441 0.255
In1 0.500 0.000 0.000
# * ΔE_f: -89 meV per atom

***

# 3
# Nd7In2Cu2 PBE optimized geometry
data_Nd7In2Cu2
_chemical_formula_sum 'Nd7 In2 Cu2'
_space_group_name_H-M_alt 'P 1'
_space_group_IT_number 1
_space_group_name_Hall 'P 1'
_cell_length_a 7.084
_cell_length_b 7.210
_cell_length_c 7.084
_cell_angle_alpha 90.00
_cell_angle_beta 108.73
_cell_angle_gamma 90.00
loop_
_atom_site_label
_atom_site_fract_x
_atom_site_fract_y
_atom_site_fract_z
Nd1 0.500 0.259 0.000
Nd2 0.000 0.259 0.500
Nd3 0.500 0.741 0.000
Nd4 0.000 0.741 0.500
Nd5 0.500 0.758 0.500
Nd6 0.000 0.000 0.000
Nd7 0.500 0.242 0.500
Cu1 0.291 0.000 0.709
Cu2 0.709 0.000 0.291
In1 0.829 0.500 0.829
In2 0.171 0.500 0.171
# * ΔE_f: -65 meV per atom

***

# 4
# Nd8InCu2 PBE optimized geometry
data_Nd8InCu2
_chemical_formula_sum 'Nd8 In1 Cu2'
_space_group_name_H-M_alt 'P 1'
_space_group_IT_number 1
_space_group_name_Hall 'P 1'
_cell_length_a 5.524
_cell_length_b 8.301
_cell_length_c 8.301
_cell_angle_alpha 114.81
_cell_angle_beta 98.82
_cell_angle_gamma 98.82
loop_
_atom_site_label
_atom_site_fract_x
_atom_site_fract_y
_atom_site_fract_z
In1 0.500 0.000 0.000
Cu1 0.000 0.690 0.310
Cu2 0.000 0.310 0.690
Nd1 0.923 0.924 0.680
Nd2 0.077 0.076 0.320
Nd3 0.693 0.395 0.395
Nd4 0.500 0.244 0.756
Nd5 0.923 0.680 0.924
Nd6 0.500 0.756 0.244
Nd7 0.307 0.605 0.605
Nd8 0.077 0.320 0.076
# * energy relative to the lowest polymorph listed for this composition: 0.066 eV/atom
# * ΔE_f: -61 meV per atom